A plane-wave DFT calculation with GGA-PBEsol was carried out for a relaxed structure of Zr2PtRh.

Cell lengths 3.309, 4.622, 4.622 Å; angles 89.97, 90.00, 90.00 degrees
Fractional coordinates of all 4 atoms:
Pt  0.500  0.000  0.000
Zr  0.000  0.500  0.000
Zr  0.000  0.000  0.500
Rh  0.500  0.500  0.500

For the density of states at the Fermi level, the calculation gives 1.0308 states/eV per atom. As for the crystal system: tetragonal. As for the magnetic moment: 0.0 Bohr magnetons per cell. For the energy of formation from the pure elements, the calculation gives -0.8178 eV per atom. The symmetry is P4/mmm.